No. 1
VASP calculation (PBE-GGA) on a relaxed Y3Ho2ScCuTe2 crystal.

The structure in POSCAR format:
```
Y3Ho2ScCuTe2
1.0
3.9590 0.0000 0.0000
0.0000 7.1287 4.1622
0.0000 -7.1287 4.1622
Y Ho Sc Cu Te
3 2 1 1 2
Direct
0.0000 0.0000 0.0000
0.0000 0.1942 0.5911
0.0000 0.5911 0.1942
0.5000 0.5937 0.8327
0.5000 0.8327 0.5937
0.5000 0.3502 0.3502
0.0000 0.5784 0.5784
0.5000 0.2595 0.9301
0.5000 0.9301 0.2595
```

Output
Volume in Å³ per cell: 235
Raw total energy in eV per atom: -5.649

No. 2
VASP calculation (PBE-GGA) on a relaxed Nd6ZnFe13 crystal.

The structure in POSCAR format:
```
Nd6ZnFe13
1.0
-4.0053 4.0053 11.4673
4.0053 -4.0053 11.4673
4.0053 4.0053 -11.4673
Nd Zn Fe
12 2 26
Direct
0.0234 0.5234 0.1720
0.1076 0.1076 0.0000
0.1486 0.9766 0.5000
0.3514 0.8514 0.8280
0.3924 0.3924 0.0000
0.4766 0.6486 0.5000
0.5234 0.3514 0.5000
0.6076 0.6076 0.0000
0.6486 0.1486 0.1720
0.8514 0.0234 0.5000
0.8924 0.8924 0.0000
0.9766 0.4766 0.8280
0.2500 0.2500 0.0000
0.7500 0.7500 0.0000
0.0000 0.5000 0.5000
0.0179 0.2908 0.5000
0.0664 0.2096 0.2760
0.1193 0.6193 0.8579
0.2092 0.4821 0.5000
0.2096 0.9336 0.1433
0.2386 0.7386 0.8579
0.2614 0.1193 0.5000
0.2904 0.4336 0.7240
0.2908 0.7908 0.2729
0.3807 0.2386 0.5000
0.4336 0.7096 0.1433
0.4821 0.9821 0.2729
0.5000 0.0000 0.5000
0.5179 0.0179 0.7271
0.5664 0.2904 0.8567
0.6193 0.7614 0.5000
0.7092 0.2092 0.7271
0.7096 0.5664 0.2760
0.7386 0.8807 0.5000
0.7614 0.2614 0.1421
0.7904 0.0664 0.8567
0.7908 0.5179 0.5000
0.8807 0.3807 0.1421
0.9336 0.7904 0.7240
0.9821 0.7092 0.5000
```

Output
Volume in Å³ per cell: 736
Raw total energy in eV per atom: -6.912
Calculated formation energy in meV per atom: -20

No. 3
VASP calculation (PBE-GGA) on a relaxed ThBi crystal.

The structure in POSCAR format:
```
ThBi
1.0
4.6038 0.0000 0.0000
-2.3019 3.9870 0.0000
0.0000 0.0000 7.6596
Th Bi
2 2
Direct
0.0000 0.0000 0.0000
0.0000 0.0000 0.5000
0.3333 0.6667 0.2500
0.6667 0.3333 0.7500
```

Output
Volume in Å³ per cell: 141
Raw total energy in eV per atom: -6.234

No. 4
VASP calculation (PBE-GGA) on a relaxed YGaAg crystal.

The structure in POSCAR format:
```
YGaAg
1.0
0.0000 3.3932 3.3932
3.3932 0.0000 3.3932
3.3932 3.3932 0.0000
Y Ga Ag
1 1 1
Direct
0.0000 0.0000 0.0000
0.2500 0.2500 0.2500
0.7500 0.7500 0.7500
```

Output
Volume in Å³ per cell: 78
Raw total energy in eV per atom: -4.021

No. 5
VASP calculation (PBE-GGA) on a relaxed ReGeAs crystal.

The structure in POSCAR format:
```
ReGeAs
1.0
0.0000 3.0113 3.0113
3.0113 0.0000 3.0113
3.0113 3.0113 0.0000
Re Ge As
1 1 1
Direct
0.0000 0.0000 0.0000
0.5000 0.5000 0.5000
0.7500 0.7500 0.7500
```

Output
Offset from the most stable computed form in meV/atom: 994
Volume in Å³ per cell: 55
Raw total energy in eV per atom: -6.278

No. 6
VASP calculation (PBE-GGA) on a relaxed Pa2S4Cl crystal.

The structure in POSCAR format:
```
Pa2S4Cl
1.0
-3.8793 6.6502 3.4808
3.8793 -6.6502 3.4808
3.8793 6.6502 -3.4808
Pa S Cl
4 8 2
Direct
0.0000 0.0000 0.0000
0.0000 0.5000 0.5000
0.3918 0.3389 0.5530
0.7859 0.8389 0.4470
0.0697 0.3500 0.6803
0.0697 0.8894 0.2198
0.1215 0.9783 0.6432
0.3351 0.4783 0.3568
0.6697 0.3894 0.3197
0.6697 0.8500 0.7802
0.7219 0.4741 0.7478
0.7263 0.9741 0.2522
0.0670 0.4332 0.1337
0.2995 0.9332 0.8663
```

Output
Volume in Å³ per cell: 359
Raw total energy in eV per atom: -6.948

No. 7
VASP calculation (PBE-GGA) on a relaxed YTcI crystal.

The structure in POSCAR format:
```
YTcI
1.0
2.0580 1.1882 12.5380
-2.0580 1.1882 12.5380
0.0000 -2.3764 12.5380
Y Tc I
2 2 2
Direct
0.0576 0.0576 0.0576
0.9424 0.9424 0.9424
0.3372 0.3372 0.3372
0.6628 0.6628 0.6628
0.2201 0.2201 0.2201
0.7799 0.7799 0.7799
```

Output
Volume in Å³ per cell: 184
Raw total energy in eV per atom: -6.844

No. 8
VASP calculation (PBE-GGA) on a relaxed La2PrB2Pt2N3 crystal.

The structure in POSCAR format:
```
La2PrB2Pt2N3
1.0
-1.9080 1.9080 10.4200
1.9080 -1.9080 10.4200
1.9080 1.9080 -10.4200
La Pr B Pt N
2 1 2 2 3
Direct
0.1221 0.1221 0.0000
0.8779 0.8779 0.0000
0.5000 0.5000 0.0000
0.3113 0.3113 0.0000
0.6887 0.6887 0.0000
0.2500 0.7500 0.5000
0.7500 0.2500 0.5000
0.0000 0.0000 0.0000
0.3804 0.3804 0.0000
0.6196 0.6196 0.0000
```

Output
Volume in Å³ per cell: 152
Raw total energy in eV per atom: -7.671

No. 9
VASP calculation (PBE-GGA) on a relaxed Np crystal.

The structure in POSCAR format:
```
Np
1.0
-5.1986 5.1986 5.1986
5.1986 -5.1986 5.1986
5.1986 5.1986 -5.1986
Np
29
Direct
0.0000 0.0000 0.0000
0.0000 0.0000 0.6562
0.0000 0.1952 0.3703
0.0000 0.3671 0.6483
0.0000 0.3703 0.1952
0.0000 0.6483 0.3671
0.0000 0.6562 0.0000
0.1751 0.8048 0.8048
0.1952 0.0000 0.3703
0.1952 0.3703 0.0000
0.2812 0.6329 0.6329
0.3438 0.3438 0.3438
0.3517 0.3517 0.7188
0.3517 0.7188 0.3517
0.3671 0.0000 0.6483
0.3671 0.6483 0.0000
0.3703 0.0000 0.1952
0.3703 0.1952 0.0000
0.6297 0.6297 0.8249
0.6297 0.8249 0.6297
0.6329 0.2812 0.6329
0.6329 0.6329 0.2812
0.6483 0.0000 0.3671
0.6483 0.3671 0.0000
0.6562 0.0000 0.0000
0.7188 0.3517 0.3517
0.8048 0.1751 0.8048
0.8048 0.8048 0.1751
0.8249 0.6297 0.6297
```

Output
Offset from the most stable computed form in meV/atom: 216
Volume in Å³ per cell: 562
Raw total energy in eV per atom: -12.553
Calculated formation energy in meV per atom: 216

No. 10
VASP calculation (PBE-GGA) on a relaxed NaNbGe2O6 crystal.

The structure in POSCAR format:
```
NaNbGe2O6
1.0
5.2354 -4.4483 0.0000
5.2354 4.4483 0.0000
-1.0216 0.0000 5.1045
Na Nb Ge O
2 2 4 12
Direct
0.1808 0.8192 0.7500
0.8192 0.1808 0.2500
0.4281 0.5719 0.2500
0.5719 0.4281 0.7500
0.0996 0.3098 0.7683
0.3098 0.0996 0.2683
0.6902 0.9004 0.7317
0.9004 0.6902 0.2317
0.1000 0.1829 0.0427
0.1433 0.6064 0.3571
0.1829 0.1000 0.5427
0.2780 0.4760 0.8579
0.3936 0.8567 0.1429
0.4760 0.2780 0.3579
0.5240 0.7220 0.6421
0.6064 0.1433 0.8571
0.7220 0.5240 0.1421
0.8171 0.9000 0.4573
0.8567 0.3936 0.6429
0.9000 0.8171 0.9573
```

Output
Volume in Å³ per cell: 238
Raw total energy in eV per atom: -6.840

No. 11
VASP calculation (PBE-GGA) on a relaxed Nd3Co4Sn13 crystal.

The structure in POSCAR format:
```
Nd3Co4Sn13
1.0
9.6331 0.0000 0.0000
0.0000 9.6331 0.0000
0.0000 0.0000 9.6331
Nd Co Sn
6 8 26
Direct
0.0000 0.2500 0.5000
0.0000 0.7500 0.5000
0.2500 0.5000 0.0000
0.5000 0.0000 0.2500
0.5000 0.0000 0.7500
0.7500 0.5000 0.0000
0.2500 0.2500 0.2500
0.2500 0.2500 0.7500
0.2500 0.7500 0.2500
0.2500 0.7500 0.7500
0.7500 0.2500 0.2500
0.7500 0.2500 0.7500
0.7500 0.7500 0.2500
0.7500 0.7500 0.7500
0.0000 0.0000 0.0000
0.0000 0.3023 0.1576
0.0000 0.3023 0.8424
0.0000 0.6977 0.1576
0.0000 0.6977 0.8424
0.1576 0.0000 0.3023
0.1576 0.0000 0.6977
0.1977 0.5000 0.3424
0.1977 0.5000 0.6576
0.3023 0.1576 0.0000
0.3023 0.8424 0.0000
0.3424 0.1977 0.5000
0.3424 0.8023 0.5000
0.5000 0.3424 0.1977
0.5000 0.3424 0.8023
0.5000 0.5000 0.5000
0.5000 0.6576 0.1977
0.5000 0.6576 0.8023
0.6576 0.1977 0.5000
0.6576 0.8023 0.5000
0.6977 0.1576 0.0000
0.6977 0.8424 0.0000
0.8023 0.5000 0.3424
0.8023 0.5000 0.6576
0.8424 0.0000 0.3023
0.8424 0.0000 0.6977
```

Output
Volume in Å³ per cell: 894
Raw total energy in eV per atom: -5.103

No. 12
VASP calculation (PBE-GGA) on a relaxed LuInFeNi crystal.

The structure in POSCAR format:
```
LuInFeNi
1.0
4.9334 0.0000 0.0000
0.0000 4.0024 0.0000
0.0000 0.0000 7.0989
Lu In Fe Ni
2 2 2 2
Direct
0.2500 0.0000 0.2256
0.7500 0.0000 0.7744
0.2500 0.5000 0.8622
0.7500 0.5000 0.1378
0.0000 0.5000 0.5000
0.5000 0.5000 0.5000
0.2500 0.0000 0.6097
0.7500 0.0000 0.3903
```

Output
Offset from the most stable computed form in meV/atom: 0
Volume in Å³ per cell: 140
Raw total energy in eV per atom: -5.616

The lowest raw total energy belongs to which entry? Np

raw total energy of number 4 (YGaAg)? -4.021 eV per atom